VNiPdRh | PBE-GGA | relaxed

The structure belongs to space group I-4m2 (No. 119); the cell edges are 3.700, 3.700 and 7.815 Å and the angles 90.00°, 90.00° and 90.00°. The inequivalent atoms are V at (0.000, 0.000, 0.000), Ni at (0.000, 0.500, 0.250), Pd at (0.000, 0.500, 0.750) and Rh at (0.000, 0.000, 0.500).

Its energy above the most stable polymorph in this dataset is 0.0 kJ per mole of atoms. The crystal system is tetragonal. As for the formation energy: -0.21 eV per atom. The density of states at the Fermi level is 1.36 states/eV/atom.